A relaxed structure of Lu3InC2, computed with PBE.

POSCAR file:
```
Lu3InC2
1.0
-0.599 -3.415 -0.480
2.042 1.065 2.635
-17.634 1.244 13.163
Lu C In
6 4 2
Direct
0.667 0.333 0.121
0.000 0.000 0.000
0.333 0.667 0.879
0.667 0.333 0.379
0.333 0.667 0.621
0.000 0.000 0.500
0.333 0.667 0.431
0.667 0.333 0.569
0.333 0.667 0.069
0.667 0.333 0.931
0.000 0.000 0.750
0.000 0.000 0.250
```

Output
**Total magnetization**: 1.71 μB per cell
**Total DFT energy (no corrections)**: -6.180 eV per atom